The following is a DFT calculation (SCAN) of a PBEsol-optimized structure of Li2Ti6PbO14.

Properties
uncorrected formation energy: -3.038 eV/atom
space-group type: Cmce

a b c (Å): 9.9952 9.9952 11.4402
angles (deg): 90.00 90.00 67.43
Positions (direct):
Li 0.0595 0.5699 0.8764
Li 0.0699 0.5595 0.3764
Li 0.4301 0.9405 0.8764
Li 0.4405 0.9301 0.3764
Li 0.5595 0.0699 0.6236
Li 0.5699 0.0595 0.1236
Li 0.9301 0.4405 0.6236
Li 0.9405 0.4301 0.1236
Ti 0.0108 0.7746 0.1167
Ti 0.0122 0.7699 0.6359
Ti 0.2254 0.9892 0.1167
Ti 0.2301 0.9878 0.6359
Ti 0.2422 0.2578 0.7500
Ti 0.2435 0.2435 0.5000
Ti 0.2565 0.2565 0.0000
Ti 0.2578 0.2422 0.2500
Ti 0.2699 0.5122 0.1359
Ti 0.2746 0.5108 0.6167
Ti 0.4878 0.7301 0.1359
Ti 0.4892 0.7254 0.6167
Ti 0.5108 0.2746 0.3833
Ti 0.5122 0.2699 0.8641
Ti 0.7254 0.4892 0.3833
Ti 0.7301 0.4878 0.8641
Ti 0.7422 0.7578 0.7500
Ti 0.7435 0.7435 0.0000
Ti 0.7565 0.7565 0.5000
Ti 0.7578 0.7422 0.2500
Ti 0.7699 0.0122 0.3641
Ti 0.7746 0.0108 0.8833
Ti 0.9878 0.2301 0.3641
Ti 0.9892 0.2254 0.8833
Pb 0.1568 0.8432 0.3792
Pb 0.3432 0.6568 0.8792
Pb 0.6568 0.3432 0.1208
Pb 0.8432 0.1568 0.6208
O 0.0798 0.9202 0.6217
O 0.0887 0.9113 0.1307
O 0.1180 0.3554 0.8779
O 0.1198 0.3486 0.3720
O 0.1278 0.1373 0.7502
O 0.1306 0.1306 0.5000
O 0.1338 0.1338 0.0000
O 0.1373 0.1278 0.2498
O 0.1391 0.6457 0.5144
O 0.1403 0.6430 0.2383
O 0.1430 0.6403 0.7383
O 0.1446 0.3820 0.6221
O 0.1457 0.6391 0.0144
O 0.1514 0.3802 0.1280
O 0.3486 0.1198 0.6280
O 0.3543 0.8609 0.5144
O 0.3554 0.1180 0.1221
O 0.3570 0.8597 0.2383
O 0.3597 0.8570 0.7383
O 0.3609 0.8543 0.0144
O 0.3627 0.3722 0.7498
O 0.3662 0.3662 0.5000
O 0.3694 0.3694 0.0000
O 0.3722 0.3627 0.2502
O 0.3802 0.1514 0.8720
O 0.3820 0.1446 0.3779
O 0.4113 0.5887 0.6307
O 0.4202 0.5798 0.1217
O 0.5798 0.4202 0.8783
O 0.5887 0.4113 0.3693
O 0.6180 0.8554 0.6221
O 0.6198 0.8486 0.1280
O 0.6278 0.6373 0.7498
O 0.6306 0.6306 0.0000
O 0.6338 0.6338 0.5000
O 0.6373 0.6278 0.2502
O 0.6391 0.1457 0.9856
O 0.6403 0.1430 0.2617
O 0.6430 0.1403 0.7617
O 0.6446 0.8820 0.8779
O 0.6457 0.1391 0.4856
O 0.6514 0.8802 0.3720
O 0.8486 0.6198 0.8720
O 0.8543 0.3609 0.9856
O 0.8554 0.6180 0.3779
O 0.8570 0.3597 0.2617
O 0.8597 0.3570 0.7617
O 0.8609 0.3543 0.4856
O 0.8627 0.8722 0.7502
O 0.8662 0.8662 0.0000
O 0.8694 0.8694 0.5000
O 0.8722 0.8627 0.2498
O 0.8802 0.6514 0.6280
O 0.8820 0.6446 0.1221
O 0.9113 0.0887 0.8693
O 0.9202 0.0798 0.3783

---

The following is a DFT calculation (SCAN) of a PBEsol-optimized structure of Li3PdO.

Properties
uncorrected formation energy: -0.999 eV/atom
space-group type: Pm-3m

a b c (Å): 3.8338 3.8338 3.8338
angles (deg): 90.00 90.00 90.00
Positions (direct):
Li 0.0000 0.0000 0.5000
Li 0.0000 0.5000 0.0000
Li 0.5000 0.0000 0.0000
Pd 0.5000 0.5000 0.5000
O 0.0000 0.0000 0.0000

---

The following is a DFT calculation (SCAN) of a PBEsol-optimized structure of LiPd2O.

Properties
uncorrected formation energy: -0.303 eV/atom
space-group type: I4_1/amd

a b c (Å): 5.1201 5.1201 11.7951
angles (deg): 90.00 90.00 90.00
Positions (direct):
Li 0.0000 0.2500 0.3750
Li 0.0000 0.7500 0.6250
Li 0.5000 0.2500 0.1250
Li 0.5000 0.7500 0.8750
Pd 0.0000 0.0000 0.0000
Pd 0.0000 0.5000 0.0000
Pd 0.2500 0.2500 0.7500
Pd 0.2500 0.7500 0.2500
Pd 0.5000 0.0000 0.5000
Pd 0.5000 0.5000 0.5000
Pd 0.7500 0.2500 0.7500
Pd 0.7500 0.7500 0.2500
O 0.0000 0.2500 0.8750
O 0.0000 0.7500 0.1250
O 0.5000 0.2500 0.6250
O 0.5000 0.7500 0.3750

---

The following is a DFT calculation (SCAN) of a PBEsol-optimized structure of Rb2Li14Pr3O14.

Properties
uncorrected formation energy: -2.155 eV/atom
space-group type: Immm

a b c (Å): 8.7237 8.7237 8.7237
angles (deg): 129.99 123.57 78.72
Positions (direct):
Rb 0.0000 0.2392 0.2392
Rb 0.0000 0.7608 0.7608
Li 0.0858 0.2315 0.8543
Li 0.2121 0.1449 0.6226
Li 0.2121 0.5895 0.0672
Li 0.3411 0.5000 0.8411
Li 0.3772 0.2315 0.1457
Li 0.4777 0.4105 0.6226
Li 0.4777 0.8551 0.0672
Li 0.5223 0.1449 0.9328
Li 0.5223 0.5895 0.3774
Li 0.6228 0.7685 0.8543
Li 0.6589 0.5000 0.1589
Li 0.7879 0.4105 0.9328
Li 0.7879 0.8551 0.3774
Li 0.9142 0.7685 0.1457
Pr 0.2278 0.7278 0.5000
Pr 0.5000 0.0000 0.5000
Pr 0.7722 0.2722 0.5000
O 0.0993 0.3765 0.7228
O 0.1765 0.8674 0.3091
O 0.2597 0.0655 0.8058
O 0.2597 0.4539 0.1942
O 0.3463 0.6235 0.7228
O 0.4416 0.1326 0.3091
O 0.5000 0.3072 0.8072
O 0.5000 0.6928 0.1928
O 0.5584 0.8674 0.6909
O 0.6537 0.3765 0.2772
O 0.7403 0.5461 0.8058
O 0.7403 0.9345 0.1942
O 0.8235 0.1326 0.6909
O 0.9007 0.6235 0.2772

---

The following is a DFT calculation (SCAN) of a PBEsol-optimized structure of LiPr2RuO6.

Properties
uncorrected formation energy: -2.693 eV/atom
space-group type: P2_1/c

a b c (Å): 5.4087 5.7165 9.3770
angles (deg): 90.00 124.85 90.00
Positions (direct):
Li 0.0000 0.0000 0.0000
Li 0.0000 0.5000 0.5000
Pr 0.2340 0.0663 0.7491
Pr 0.2340 0.4337 0.2491
Pr 0.7660 0.5663 0.7509
Pr 0.7660 0.9337 0.2509
Ru 0.5000 0.0000 0.5000
Ru 0.5000 0.5000 0.0000
O 0.1638 0.1903 0.4559
O 0.1638 0.3097 0.9559
O 0.2652 0.7139 0.4523
O 0.2652 0.7861 0.9523
O 0.3430 0.0238 0.2554
O 0.3430 0.4762 0.7554
O 0.6570 0.5238 0.2446
O 0.6570 0.9762 0.7446
O 0.7348 0.2139 0.0477
O 0.7348 0.2861 0.5477
O 0.8362 0.6903 0.0441
O 0.8362 0.8097 0.5441

---

The following is a DFT calculation (SCAN) of a PBEsol-optimized structure of LiPrS2O8.

Properties
uncorrected formation energy: -2.334 eV/atom
space-group type: P2_1/c

a b c (Å): 13.6961 6.6663 7.0245
angles (deg): 90.00 104.83 90.00
Positions (direct):
Li 0.0550 0.2436 0.0086
Li 0.0550 0.2564 0.5086
Li 0.9450 0.7436 0.4914
Li 0.9450 0.7564 0.9914
Pr 0.3150 0.6143 0.1586
Pr 0.3150 0.8857 0.6586
Pr 0.6850 0.1143 0.3414
Pr 0.6850 0.3857 0.8414
S 0.1159 0.5996 0.8016
S 0.1159 0.9004 0.3016
S 0.3952 0.0719 0.1992
S 0.3952 0.4281 0.6992
S 0.6048 0.5719 0.3008
S 0.6048 0.9281 0.8008
S 0.8841 0.0996 0.6984
S 0.8841 0.4004 0.1984
O 0.0154 0.6903 0.7805
O 0.0154 0.8097 0.2805
O 0.1203 0.0075 0.1233
O 0.1203 0.4925 0.6233
O 0.1436 0.0308 0.4816
O 0.1436 0.4692 0.9816
O 0.1962 0.7395 0.3442
O 0.1962 0.7605 0.8442
O 0.3370 0.2412 0.6733
O 0.3370 0.2588 0.1733
O 0.3641 0.5561 0.5183
O 0.3641 0.9439 0.0183
O 0.3684 0.5555 0.8539
O 0.3684 0.9445 0.3539
O 0.4966 0.6120 0.2525
O 0.4966 0.8880 0.7525
O 0.5034 0.1120 0.2475
O 0.5034 0.3880 0.7475
O 0.6316 0.0555 0.6461
O 0.6316 0.4445 0.1461
O 0.6359 0.0561 0.9817
O 0.6359 0.4439 0.4817
O 0.6630 0.7412 0.8267
O 0.6630 0.7588 0.3267
O 0.8038 0.2395 0.1558
O 0.8038 0.2605 0.6558
O 0.8564 0.5308 0.0184
O 0.8564 0.9692 0.5184
O 0.8797 0.5075 0.3767
O 0.8797 0.9925 0.8767
O 0.9846 0.1903 0.7195
O 0.9846 0.3097 0.2195

---

Number 1: calculated volume 1055 Å³ per cell, E_tot -14.52 eV/atom. Number 2: calculated volume 56 Å³ per cell, E_tot -10.23 eV/atom. Number 3: calculated volume 309 Å³ per cell, E_tot -18.85 eV/atom. Number 4: calculated volume 410 Å³ per cell, E_tot -11.01 eV/atom. Number 5: calculated volume 238 Å³ per cell, E_tot -18.82 eV/atom. Number 6: calculated volume 620 Å³ per cell, E_tot -11.90 eV/atom.